Entry 1:
CsRb3Os2O8: optimized geometry, PBE-GGA.

Cell and atoms, written as extended XYZ:
```
14
Lattice="6.5259 0.0000 0.0000 -3.2630 5.6516 0.0000 0.0000 0.0000 8.9669" Properties=species:S:1:pos:R:3 pbc="T T T"
Cs 0.0000 0.0000 0.0000
Rb 0.0000 0.0000 4.4835
Rb 0.0000 3.7677 1.7608
Rb 3.2630 1.8839 7.2061
Os 0.0000 3.7677 6.2067
Os 3.2630 1.8839 2.7603
O 0.0000 2.0792 6.8939
O -1.4623 4.6120 6.8939
O 0.0000 3.7677 4.4145
O 1.8006 1.0396 2.0731
O 1.4623 4.6120 6.8939
O 3.2630 1.8839 4.5524
O 4.7253 1.0396 2.0731
O 3.2630 3.5724 2.0731
```

## Properties
Total DFT energy (no corrections) (eV per atom): -6.0355
Raw formation energy (eV/f.u.): -18.61



Entry 2:
Ce2PuSi: optimized geometry, PBE-GGA.

Cell and atoms, written as extended XYZ:
```
4
Lattice="2.0838 1.2031 7.2438 -2.0838 1.2031 7.2438 0.0000 -2.4062 7.2438" Properties=species:S:1:pos:R:3 pbc="T T T"
Ce 0.0000 0.0000 0.0000
Ce 0.0000 0.0000 3.9244
Pu 0.0000 0.0000 15.9067
Si 0.0000 0.0000 12.8725
```

## Properties
Total DFT energy (no corrections) (eV per atom): -7.9590
Raw formation energy (eV/f.u.): -0.21
N(E_F) (states/eV/atom): 2.045
Distance to the lowest polymorph of the same formula (meV per atom): 288



Entry 3:
Y3MgPt12: optimized geometry, PBE-GGA.

Cell and atoms, written as extended XYZ:
```
16
Lattice="4.1004 0.0000 0.0000 0.0000 4.1004 0.0000 0.0000 0.0000 16.2486" Properties=species:S:1:pos:R:3 pbc="T T T"
Y 0.0000 0.0000 0.0000
Y 0.0000 0.0000 4.1527
Y 0.0000 0.0000 12.0960
Mg 0.0000 0.0000 8.1243
Pt 0.0000 2.0502 2.0765
Pt 0.0000 2.0502 6.2389
Pt 0.0000 2.0502 10.0097
Pt 0.0000 2.0502 14.1721
Pt 2.0502 0.0000 2.0765
Pt 2.0502 0.0000 6.2389
Pt 2.0502 0.0000 10.0097
Pt 2.0502 0.0000 14.1721
Pt 2.0502 2.0502 0.0000
Pt 2.0502 2.0502 4.1552
Pt 2.0502 2.0502 8.1243
Pt 2.0502 2.0502 12.0934
```

## Properties
Total DFT energy (no corrections) (eV per atom): -6.7328
ΔE_f (eV/atom): -0.891
N(E_F) (states/eV/atom): 0.945



Entry 4:
CoRh2: optimized geometry, PBE-GGA.

Cell and atoms, written as extended XYZ:
```
6
Lattice="4.2516 0.0000 0.0000 -2.1258 3.6820 0.0000 0.0000 0.0000 5.2165" Properties=species:S:1:pos:R:3 pbc="T T T"
Co 0.0000 2.4547 0.0000
Co 2.1258 1.2273 0.0000
Rh 0.0000 0.0000 1.2699
Rh 0.0000 0.0000 3.9467
Rh 0.0000 2.4547 2.6083
Rh 2.1258 1.2273 2.6083
```

## Properties
Total DFT energy (no corrections) (eV per atom): -7.0662
ΔE_f (eV/atom): 0.203
N(E_F) (states/eV/atom): 1.441



Which of these has the lowest total DFT energy (no corrections)?
Ce2PuSi